Entry 1:
KCd2Te after structural relaxation. Source: Alexandria via LeMat-Bulk, functional GGA-PBE.

Output
The raw formation energy is -0.220 eV per atom.

a = 4.779 Å, b = 4.779 Å, c = 10.593 Å
α = 90.00°, β = 90.00°, γ = 90.00°
Space group I4/mmm (No. 139)
Inequivalent atoms, fractional coordinates:
1 K 0.000 0.000 0.000
2 Cd 0.000 0.500 0.250
3 Te 0.000 0.000 0.500

Entry 2:
K3TiF8 after structural relaxation. Source: Alexandria via LeMat-Bulk, functional GGA-PBE.

Output
The distance to the lowest polymorph of the same formula is 0.000 eV per formula unit. The raw formation energy is -2.809 eV per atom.

a = 6.439 Å, b = 6.439 Å, c = 9.384 Å
α = 90.00°, β = 90.00°, γ = 90.00°
Space group I-42m (No. 121)
Inequivalent atoms, fractional coordinates:
1 K 0.000 0.000 0.000
2 K 0.000 0.500 0.250
3 Ti 0.000 0.000 0.500
4 F 0.124 0.124 0.684
5 F 0.209 0.209 0.449

Number 1: uncorrected energy -1.737 eV per atom, Fermi-level density of states 1.69 states/eV/f.u.. Number 2: uncorrected energy -4.989 eV per atom, Fermi-level density of states 6.59 states/eV/f.u..